[1]
Computed, not measured: a geometry-optimized Pm2Pu3NpAs6 structure at the GGA-PBE level of DFT.

Output
**Theoretical density**: 9.28 g/cm³
**SG**: C2/m, No. 12
**Energy relative to the elements**: -1.10 eV per atom
**Crystal system**: monoclinic
**Energy**: -0.326 Ha/atom

Cell lengths 4.1636, 8.3210, 9.3051 Å; angles 102.87, 102.93, 90.00 degrees
Positions (direct):
As: 0.3327 0.4240 0.6655
As: 0.6636 0.0876 0.3272
As: 0.9982 0.7510 0.9965
As: 0.0018 0.2490 0.0035
As: 0.3364 0.9124 0.6728
As: 0.6673 0.5760 0.3345
Pu: 0.8323 0.6662 0.6646
Pu: 0.5000 0.5000 0.0000
Pu: 0.1677 0.3338 0.3354
Pm: 0.1670 0.8326 0.3339
Pm: 0.8330 0.1674 0.6661
Np: 0.5000 0.0000 0.0000



[2]
Computed, not measured: a geometry-optimized CdAsPH structure at the GGA-PBE level of DFT.

Output
**Theoretical density**: 4.29 g/cm³
**SG**: P1, No. 1
**Crystal system**: triclinic
**Relative energy among the computed polymorphs**: 20.6 meV per atom
**Energy**: -0.129 Ha/atom

Cell lengths 3.8423, 4.6563, 5.5241 Å; angles 72.13, 89.90, 65.69 degrees
Positions (direct):
P: 0.3260 0.2298 0.4413
As: 0.3832 0.1165 0.8698
H: 0.4937 0.8924 0.4423
Cd: 0.7169 0.4499 0.0734



[3]
Computed, not measured: a geometry-optimized MnAs2SBr structure at the GGA-PBE level of DFT.

Output
**Theoretical density**: 4.34 g/cm³
**SG**: P4/mmm, No. 123
**Crystal system**: tetragonal
**Relative energy among the computed polymorphs**: 305.5 meV per atom
**Energy**: -0.148 Ha/atom
**Formation energy from raw total energies**: 0.83 eV/atom

Cell lengths 4.8182, 4.8182, 5.2191 Å; angles 90.00, 90.00, 90.00 degrees
Positions (direct):
Mn: 0.5000 0.5000 0.5000
As: 0.5000 0.0000 0.0000
As: 0.0000 0.5000 0.0000
Br: 0.0000 0.0000 0.5000
S: 0.0000 0.0000 0.0000



[4]
Computed, not measured: a geometry-optimized Rb2CdBr2F2 structure at the GGA-PBE level of DFT.

Output
**Theoretical density**: 4.21 g/cm³
**SG**: I4/mmm, No. 139
**Crystal system**: tetragonal
**Energy**: -0.124 Ha/atom
**Formation energy from raw total energies**: -1.97 eV/atom

Cell lengths 4.7636, 4.7636, 9.0112 Å; angles 105.33, 105.33, 90.00 degrees
Positions (direct):
Rb: 0.6188 0.6188 0.2376
Rb: 0.3812 0.3812 0.7624
F: 0.5000 0.0000 0.0000
F: 0.0000 0.5000 0.0000
Cd: 0.0000 0.0000 0.0000
Br: 0.1614 0.1614 0.3229
Br: 0.8386 0.8386 0.6771